{"formula": "TiAlCo2Tc", "functional": "GGA-PBE", "state": "relaxed", "m_tot_mub_per_atom": 0.6160, "e_tot_ev_per_cell": -30.4, "formation_energy_ev_per_atom": 1.170, "n_ef_per_ev_atom": 0.969, "lattice_angstrom": [[4.117, 0.000, 0.000], [0.000, 4.749, 0.000], [0.000, 0.000, 4.117]], "species": ["Al", "Co", "Co", "Tc", "Ti"], "fractional_positions": [[0.000, 0.500, 0.000], [0.000, 0.000, 0.500], [0.500, 0.000, 0.000], [0.500, 0.500, 0.500], [0.000, 0.000, 0.000]]}

{"formula": "Pm4BiOs", "functional": "GGA-PBE", "state": "relaxed", "m_tot_mub_per_atom": 0.0000, "e_tot_ev_per_cell": -73.1, "formation_energy_ev_per_atom": -0.403, "n_ef_per_ev_atom": 0.778, "lattice_angstrom": [[6.324, -0.452, 0.000], [-2.177, 8.587, 0.000], [-2.073, -4.067, 6.929]], "species": ["Pm", "Pm", "Pm", "Pm", "Pm", "Pm", "Pm", "Pm", "Bi", "Bi", "Os", "Os"], "fractional_positions": [[0.060, 0.207, 0.859], [0.788, 0.723, 0.664], [0.299, 0.652, 0.859], [0.376, 0.941, 0.664], [0.624, 0.059, 0.336], [0.701, 0.348, 0.141], [0.212, 0.277, 0.336], [0.940, 0.793, 0.141], [0.377, 0.627, 0.255], [0.623, 0.373, 0.745], [0.250, 0.000, 0.001], [0.750, 0.000, 0.999]]}

{"formula": "Ho2ThHg", "functional": "GGA-PBE", "state": "relaxed", "m_tot_mub_per_atom": 0.0000, "e_tot_ev_per_cell": -17.6, "formation_energy_ev_per_atom": -0.173, "n_ef_per_ev_atom": 1.222, "de_polymorph_mev_per_atom": 80.8, "lattice_angstrom": [[3.604, 0.000, 0.000], [1.802, 3.121, 0.000], [1.802, 1.040, 10.446]], "species": ["Hg", "Th", "Ho", "Ho"], "fractional_positions": [[0.000, 0.000, 0.000], [0.500, 0.500, 0.500], [0.743, 0.743, 0.771], [0.257, 0.257, 0.229]]}

{"formula": "LiIrCl6", "functional": "GGA-PBE", "state": "relaxed", "m_tot_mub_per_atom": 0.2553, "e_tot_ev_per_cell": -27.3, "n_ef_per_ev_atom": 0.476, "de_polymorph_mev_per_atom": 0.0, "raw_formation_energy_kj_per_mol_fu": -522, "lattice_angstrom": [[6.681, -0.611, -1.904], [-3.533, 5.441, -1.943], [-0.001, 0.270, 6.582]], "species": ["Li", "Ir", "Cl", "Cl", "Cl", "Cl", "Cl", "Cl"], "fractional_positions": [[0.000, 0.000, 0.000], [0.500, 0.000, 0.000], [0.882, 0.138, 0.292], [0.590, 0.845, 0.708], [0.410, 0.155, 0.292], [0.118, 0.862, 0.708], [0.306, 0.614, 0.000], [0.694, 0.386, 0.000]]}